Record 1
VASP calculation (PBE-GGA) on crystalline CoSbIrAu at its relaxed geometry.

Unit cell a=4.506 b=4.506 c=4.506 alpha=60.00 beta=60.00 gamma=60.00
Sites, in units of the cell vectors:
Ir1 0.250 0.250 0.250
Au1 0.500 0.500 0.500
Co1 0.750 0.750 0.750
Sb1 0.000 0.000 0.000

Space group = No. 216
Uncorrected energy = -22.4 eV per formula unit
Magnetic moment = 1.1 μB per formula unit
Calculated density = 14.63 g/cm3

---

Record 2
VASP calculation (PBE-GGA) on crystalline NdYTa at its relaxed geometry.

Unit cell a=5.085 b=5.085 c=5.085 alpha=60.00 beta=60.00 gamma=60.00
Sites, in units of the cell vectors:
Y1 0.000 0.000 0.000
Nd1 0.250 0.250 0.250
Ta1 0.750 0.750 0.750

Space group = No. 216
Uncorrected energy = -19.1 eV per formula unit
Magnetic moment = 1.9 μB per formula unit
Calculated density = 7.40 g/cm3

---

Record 3
VASP calculation (PBE-GGA) on crystalline ErCuPd4 at its relaxed geometry.

Unit cell a=5.272 b=5.272 c=5.272 alpha=60.00 beta=60.00 gamma=60.00
Sites, in units of the cell vectors:
Pd1 0.625 0.124 0.625
Pd2 0.625 0.625 0.124
Pd3 0.625 0.625 0.625
Pd4 0.124 0.625 0.625
Er1 0.250 0.250 0.250
Cu1 0.000 0.000 0.000

Space group = No. 216
Uncorrected energy = -31.7 eV per formula unit
Magnetic moment = 0.0 μB per formula unit
Calculated density = 10.52 g/cm3

---

Record 4
VASP calculation (PBE-GGA) on crystalline Y2GaAg at its relaxed geometry.

Unit cell a=5.100 b=5.100 c=5.100 alpha=60.00 beta=60.00 gamma=60.00
Sites, in units of the cell vectors:
Ag1 0.250 0.250 0.250
Y1 0.000 0.000 0.000
Y2 0.750 0.750 0.750
Ga1 0.500 0.500 0.500

Space group = No. 216
Uncorrected energy = -18.7 eV per formula unit
Magnetic moment = 1.3 μB per formula unit
Calculated density = 6.29 g/cm3

---

Record 5
VASP calculation (PBE-GGA) on crystalline AlFeNiOs at its relaxed geometry.

Unit cell a=4.140 b=4.140 c=4.140 alpha=60.00 beta=60.00 gamma=60.00
Sites, in units of the cell vectors:
Fe1 0.750 0.750 0.750
Al1 0.000 0.000 0.000
Ni1 0.500 0.500 0.500
Os1 0.250 0.250 0.250

Space group = No. 216
Uncorrected energy = -28.9 eV per formula unit
Magnetic moment = 2.1 μB per formula unit
Calculated density = 10.98 g/cm3

---

Record 6
VASP calculation (PBE-GGA) on crystalline NbFeAgAs at its relaxed geometry.

Unit cell a=4.467 b=4.467 c=4.467 alpha=60.00 beta=60.00 gamma=60.00
Sites, in units of the cell vectors:
Nb1 0.250 0.250 0.250
Ag1 0.500 0.500 0.500
As1 0.000 0.000 0.000
Fe1 0.750 0.750 0.750

Space group = No. 216
Uncorrected energy = -24.9 eV per formula unit
Magnetic moment = 1.9 μB per formula unit
Calculated density = 8.74 g/cm3